Record 1
Compound: Mg2ScCrRh
Source: the Alexandria database
Functional: GGA-PBE
Structure: optimized geometry

abc: 4.968 4.827 4.968
angles: 90.00 90.00 90.00
Last column: magnetic moment on the atom in μB.
Atoms (fractional coordinates):
Sc (0.000, 0.500, 0.000)  -0.05
Cr (0.500, 0.500, 0.500)  4.07
Mg (0.000, 0.000, 0.500)  -0.02
Mg (0.500, 0.000, 0.000)  -0.01
Rh (0.000, 0.000, 0.000)  0.10

## Properties
Spin magnetization: 4.7 μB per cell
E_tot: -0.187 hartree per atom
ΔE_f: 222 meV/atom

Record 2
Compound: Ac2ErPb3
Source: the Alexandria database
Functional: GGA-PBE
Structure: optimized geometry

abc: 6.748 7.796 9.133
angles: 102.32 111.68 90.00
Atoms (fractional coordinates):
Ac (0.669, 0.585, 0.339)
Ac (0.670, 0.085, 0.339)
Ac (0.330, 0.915, 0.661)
Ac (0.331, 0.415, 0.661)
Er (0.001, 0.750, 0.000)
Er (0.999, 0.250, 0.000)
Pb (0.499, 0.250, 0.000)
Pb (0.501, 0.750, 0.000)
Pb (0.156, 0.078, 0.310)
Pb (0.846, 0.422, 0.690)
Pb (0.154, 0.578, 0.310)
Pb (0.844, 0.922, 0.690)

## Properties
Spin magnetization: 0.0 μB per cell
E above lowest polymorph: 90 meV per atom
E_tot: -0.159 hartree per atom
ΔE_f: -356 meV/atom

Record 3
Compound: CsLiAuS2
Source: the Alexandria database
Functional: GGA-PBE
Structure: optimized geometry

abc: 6.152 5.676 7.919
angles: 111.00 90.00 90.00
Atoms (fractional coordinates):
Cs (0.238, 0.750, 0.500)
Cs (0.762, 0.250, 0.500)
Li (0.500, 0.750, 0.000)
Li (0.500, 0.250, 0.000)
Au (0.000, 0.000, 0.000)
Au (0.000, 0.500, 0.000)
S (0.714, 0.896, 0.792)
S (0.714, 0.604, 0.208)
S (0.286, 0.396, 0.792)
S (0.286, 0.104, 0.208)

## Properties
Formation energy from raw total energies: -0.735 eV per atom
Spin magnetization: 0.0 μB per cell
E_tot: -0.132 hartree per atom

Record 4
Compound: MgZn2Mo
Source: the Alexandria database
Functional: GGA-PBE
Structure: optimized geometry

abc: 3.929 2.826 6.425
angles: 63.65 90.00 90.00
Atoms (fractional coordinates):
Mg (0.500, 0.250, 0.250)
Mo (0.500, 0.750, 0.750)
Zn (0.000, 0.018, 0.982)
Zn (0.000, 0.482, 0.518)

## Properties
Spin magnetization: 0.0 μB per cell
E_tot: -0.133 hartree per atom
ΔE_f: 135 meV/atom

Record 5
Compound: RbAlP2S8
Source: the Alexandria database
Functional: GGA-PBE
Structure: optimized geometry

abc: 5.907 5.907 9.603
angles: 90.00 90.00 120.00
Last column: magnetic moment on the atom in μB.
Atoms (fractional coordinates):
Rb (0.000, 0.000, 0.000)  0.00
Al (0.000, 0.000, 0.500)  0.00
P (0.667, 0.333, 0.290)  -0.01
P (0.333, 0.667, 0.710)  -0.01
S (0.333, 0.667, 0.921)  0.21
S (0.330, 0.335, 0.349)  0.14
S (0.665, 0.995, 0.349)  0.14
S (0.667, 0.333, 0.079)  0.21
S (0.335, 0.005, 0.651)  0.14
S (0.670, 0.665, 0.651)  0.14
S (0.995, 0.330, 0.651)  0.14
S (0.005, 0.670, 0.349)  0.14

## Properties
Formation energy from raw total energies: -0.361 eV per atom
Spin magnetization: 2.0 μB per cell
E_tot: -0.162 hartree per atom

Record 6
Compound: Sr2ScAl
Source: the Alexandria database
Functional: GGA-PBE
Structure: optimized geometry

abc: 9.155 9.155 7.264
angles: 50.94 50.94 90.00
Atoms (fractional coordinates):
Sc (0.000, 0.000, 0.000)
Sc (0.750, 0.250, 0.500)
Sr (0.592, 0.125, 0.250)
Sr (0.158, 0.625, 0.250)
Sr (0.375, 0.408, 0.750)
Sr (0.875, 0.842, 0.750)
Al (0.500, 0.500, 0.000)
Al (0.250, 0.750, 0.500)

## Properties
Spin magnetization: 0.0 μB per cell
E_tot: -0.108 hartree per atom
ΔE_f: 428 meV/atom

Record 7
Compound: Er2GaNi4Ge3
Source: the Alexandria database
Functional: GGA-PBE
Structure: optimized geometry

abc: 4.032 4.032 9.800
angles: 90.00 90.00 90.00
Atoms (fractional coordinates):
Er (0.500, 0.000, 0.248)
Er (0.000, 0.500, 0.752)
Ga (0.500, 0.500, 0.500)
Ni (0.500, 0.500, 0.000)
Ni (0.000, 0.000, 0.000)
Ni (0.500, 0.000, 0.634)
Ni (0.000, 0.500, 0.366)
Ge (0.000, 0.000, 0.500)
Ge (0.500, 0.000, 0.871)
Ge (0.000, 0.500, 0.129)

## Properties
Spin magnetization: 0.0 μB per cell
E_tot: -0.206 hartree per atom
ΔE_f: -682 meV/atom

Record 8
Compound: Li2PuSiAu4
Source: the Alexandria database
Functional: GGA-PBE
Structure: optimized geometry

abc: 4.431 4.431 9.072
angles: 75.86 75.86 60.00
Last column: magnetic moment on the atom in μB.
Atoms (fractional coordinates):
Li (0.763, 0.763, 0.711)  0.00
Li (0.237, 0.237, 0.289)  0.00
Pu (0.000, 0.000, 0.000)  5.23
Si (0.500, 0.500, 0.500)  -0.01
Au (0.399, 0.399, 0.802)  -0.02
Au (0.869, 0.869, 0.394)  -0.01
Au (0.131, 0.131, 0.606)  -0.01
Au (0.601, 0.601, 0.198)  -0.02

## Properties
Formation energy from raw total energies: -0.346 eV per atom
Spin magnetization: 5.4 μB per cell
E_tot: -0.181 hartree per atom

Record 9
Compound: TaFe5
Source: the Alexandria database
Functional: GGA-PBE
Structure: optimized geometry

abc: 2.981 2.981 8.509
angles: 90.00 90.00 90.00
Last column: magnetic moment on the atom in μB.
Atoms (fractional coordinates):
Ta (0.500, 0.500, 0.000)  -0.41
Fe (0.000, 0.000, 0.821)  1.70
Fe (0.000, 0.000, 0.179)  1.70
Fe (0.500, 0.500, 0.661)  2.58
Fe (0.500, 0.500, 0.339)  2.58
Fe (0.000, 0.000, 0.500)  2.44

## Properties
Spin magnetization: 10.3 μB per cell
E_tot: -0.333 hartree per atom
ΔE_f: -35 meV/atom

Record 10
Compound: Ho2Hg2Pd3
Source: the Alexandria database
Functional: GGA-PBE
Structure: optimized geometry

abc: 4.258 7.293 5.337
angles: 104.52 113.51 90.00
Atoms (fractional coordinates):
Ho (0.375, 0.201, 0.750)
Ho (0.625, 0.799, 0.250)
Hg (0.124, 0.427, 0.248)
Hg (0.876, 0.573, 0.752)
Pd (0.000, 0.000, 0.000)
Pd (0.327, 0.802, 0.653)
Pd (0.673, 0.198, 0.347)

## Properties
Spin magnetization: 0.0 μB per cell
E_tot: -0.158 hartree per atom
ΔE_f: -676 meV/atom

Record 11
Compound: YU2Pt9
Source: the Alexandria database
Functional: GGA-PBE
Structure: optimized geometry

abc: 4.149 4.149 12.427
angles: 90.00 90.00 90.00
Last column: magnetic moment on the atom in μB.
Atoms (fractional coordinates):
Y (0.000, 0.000, 0.000)  0.00
U (0.000, 0.000, 0.332)  1.62
U (0.000, 0.000, 0.668)  1.62
Pt (0.500, 0.500, 0.000)  -0.02
Pt (0.500, 0.500, 0.333)  -0.02
Pt (0.500, 0.500, 0.667)  -0.02
Pt (0.500, 0.000, 0.169)  -0.01
Pt (0.500, 0.000, 0.500)  -0.02
Pt (0.500, 0.000, 0.831)  -0.01
Pt (0.000, 0.500, 0.169)  -0.01
Pt (0.000, 0.500, 0.500)  -0.02
Pt (0.000, 0.500, 0.831)  -0.01

## Properties
Spin magnetization: 3.2 μB per cell
E above lowest polymorph: 0 meV per atom
E_tot: -0.286 hartree per atom
ΔE_f: -844 meV/atom

Record 12
Compound: RbSr2CuO4
Source: the Alexandria database
Functional: GGA-PBE
Structure: optimized geometry

abc: 3.678 6.631 12.524
angles: 90.00 90.00 106.10
Atoms (fractional coordinates):
Rb (0.087, 0.173, 0.750)
Rb (0.913, 0.827, 0.250)
Sr (0.369, 0.738, 0.543)
Sr (0.631, 0.262, 0.043)
Sr (0.631, 0.262, 0.457)
Sr (0.369, 0.738, 0.957)
Cu (0.796, 0.591, 0.750)
Cu (0.204, 0.409, 0.250)
O (0.250, 0.499, 0.110)
O (0.750, 0.501, 0.610)
O (0.750, 0.501, 0.890)
O (0.250, 0.499, 0.390)
O (0.000, 0.000, 0.500)
O (0.000, 0.000, 0.000)
O (0.347, 0.694, 0.750)
O (0.653, 0.306, 0.250)

## Properties
Formation energy from raw total energies: -1.750 eV per atom
Spin magnetization: 0.1 μB per cell
E_tot: -0.194 hartree per atom

Record 13
Compound: SrTaPbAu2
Source: the Alexandria database
Functional: GGA-PBE
Structure: optimized geometry

abc: 5.311 5.940 5.311
angles: 90.00 90.00 90.00
Atoms (fractional coordinates):
Pb (0.000, 0.500, 0.000)
Sr (0.000, 0.000, 0.000)
Au (0.000, 0.000, 0.500)
Au (0.500, 0.000, 0.000)
Ta (0.500, 0.500, 0.500)

## Properties
Spin magnetization: 0.0 μB per cell
E_tot: -0.113 hartree per atom
ΔE_f: 1684 meV/atom

Record 14
Compound: Sr3P3Pd2
Source: the Alexandria database
Functional: GGA-PBE
Structure: optimized geometry

abc: 4.259 5.956 15.583
angles: 90.00 90.00 110.95
Atoms (fractional coordinates):
Sr (0.848, 0.696, 0.406)
Sr (0.152, 0.304, 0.906)
Sr (0.848, 0.696, 0.094)
Sr (0.152, 0.304, 0.594)
Sr (0.556, 0.111, 0.250)
Sr (0.444, 0.889, 0.750)
P (0.569, 0.138, 0.447)
P (0.431, 0.862, 0.947)
P (0.569, 0.138, 0.053)
P (0.431, 0.862, 0.553)
P (0.264, 0.527, 0.250)
P (0.736, 0.473, 0.750)
Pd (0.865, 0.730, 0.883)
Pd (0.135, 0.270, 0.383)
Pd (0.865, 0.730, 0.617)
Pd (0.135, 0.270, 0.117)

## Properties
Spin magnetization: 0.0 μB per cell
E above lowest polymorph: 0 meV per atom
E_tot: -0.182 hartree per atom
ΔE_f: -984 meV/atom

Record 15
Compound: BaNa5Tl6
Source: the Alexandria database
Functional: GGA-PBE
Structure: optimized geometry

abc: 5.407 8.506 8.324
angles: 90.01 90.03 71.81
Atoms (fractional coordinates):
Na (0.674, 0.670, 0.500)
Na (0.327, 0.339, 0.000)
Na (0.000, 0.000, 0.500)
Na (0.673, 0.661, 0.000)
Na (0.326, 0.330, 0.500)
Tl (0.817, 0.352, 0.260)
Tl (0.817, 0.352, 0.740)
Tl (0.500, 0.000, 0.721)
Tl (0.500, 0.000, 0.279)
Tl (0.183, 0.648, 0.260)
Tl (0.183, 0.648, 0.740)
Ba (0.000, 0.000, 0.000)

## Properties
Spin magnetization: 0.0 μB per cell
E_tot: -0.075 hartree per atom
ΔE_f: -141 meV/atom

Record 16
Compound: Nb2Hg2RhSe6
Source: the Alexandria database
Functional: GGA-PBE
Structure: optimized geometry

abc: 6.142 6.142 10.230
angles: 99.21 99.21 123.40
Atoms (fractional coordinates):
Nb (0.361, 0.639, 0.500)
Nb (0.639, 0.361, 0.500)
Hg (0.751, 0.249, 0.000)
Hg (0.249, 0.751, 0.000)
Rh (0.000, 0.000, 0.500)
Se (0.796, 0.796, 0.687)
Se (0.075, 0.416, 0.660)
Se (0.204, 0.204, 0.313)
Se (0.416, 0.075, 0.660)
Se (0.925, 0.584, 0.340)
Se (0.584, 0.925, 0.340)

## Properties
Formation energy from raw total energies: -0.541 eV per atom
Spin magnetization: 0.0 μB per cell
E_tot: -0.184 hartree per atom

Record 17
Compound: HoInGa
Source: the Alexandria database
Functional: GGA-PBE
Structure: optimized geometry

abc: 7.704 4.266 4.266
angles: 90.00 90.00 90.00
Atoms (fractional coordinates):
Ho (0.844, 0.000, 0.500)
Ho (0.156, 0.500, 0.000)
In (0.500, 0.000, 0.000)
In (0.500, 0.500, 0.500)
Ga (0.222, 0.000, 0.500)
Ga (0.778, 0.500, 0.000)

## Properties
Spin magnetization: 0.0 μB per cell
E above lowest polymorph: 34 meV per atom
E_tot: -0.142 hartree per atom
ΔE_f: -425 meV/atom

Record 18
Compound: TaAl2Tl
Source: the Alexandria database
Functional: GGA-PBE
Structure: optimized geometry

abc: 5.156 5.156 3.004
angles: 89.99 90.00 110.03
Atoms (fractional coordinates):
Tl (0.000, 0.500, 0.500)
Al (0.000, 0.000, 0.000)
Al (0.500, 0.500, 0.000)
Ta (0.500, 0.000, 0.500)

## Properties
Spin magnetization: 0.0 μB per cell
E above lowest polymorph: 114 meV per atom
E_tot: -0.191 hartree per atom
ΔE_f: 236 meV/atom

Record 19
Compound: Hf2CuPd2
Source: the Alexandria database
Functional: GGA-PBE
Structure: optimized geometry

abc: 3.689 3.689 7.500
angles: 75.76 75.76 90.00
Last column: magnetic moment on the atom in μB.
Atoms (fractional coordinates):
Hf (0.395, 0.395, 0.210)  0.15
Hf (0.605, 0.605, 0.790)  0.15
Cu (0.000, 0.000, 0.000)  0.03
Pd (0.750, 0.250, 0.500)  0.00
Pd (0.250, 0.750, 0.500)  0.00

## Properties
Spin magnetization: 0.4 μB per cell
E above lowest polymorph: 352 meV per atom
E_tot: -0.256 hartree per atom
ΔE_f: -97 meV/atom

Record 20
Compound: CrOsAu2
Source: the Alexandria database
Functional: GGA-PBE
Structure: optimized geometry

abc: 4.867 4.867 4.867
angles: 131.83 131.57 70.70
Last column: magnetic moment on the atom in μB.
Atoms (fractional coordinates):
Au (0.000, 0.000, 0.000)  -0.06
Au (0.750, 0.250, 0.500)  -0.02
Cr (0.499, 0.499, 0.000)  2.59
Os (0.251, 0.751, 0.500)  -0.85

## Properties
Spin magnetization: 1.8 μB per cell
E above lowest polymorph: 215 meV per atom
E_tot: -0.236 hartree per atom
ΔE_f: 425 meV/atom

Record 21
Compound: Cs2PPd3
Source: the Alexandria database
Functional: GGA-PBE
Structure: optimized geometry

abc: 4.291 6.624 13.290
angles: 90.00 99.29 90.00
Atoms (fractional coordinates):
Cs (0.202, 0.750, 0.404)
Cs (0.798, 0.250, 0.596)
Cs (0.024, 0.750, 0.047)
Cs (0.976, 0.250, 0.953)
P (0.345, 0.750, 0.691)
P (0.655, 0.250, 0.309)
Pd (0.392, 0.461, 0.784)
Pd (0.608, 0.539, 0.216)
Pd (0.392, 0.039, 0.784)
Pd (0.608, 0.961, 0.216)
Pd (0.881, 0.750, 0.763)
Pd (0.119, 0.250, 0.237)

## Properties
Spin magnetization: 0.0 μB per cell
E_tot: -0.144 hartree per atom
ΔE_f: -145 meV/atom

Record 22
Compound: RbBaCa
Source: the Alexandria database
Functional: GGA-PBE
Structure: optimized geometry

abc: 6.877 6.875 8.968
angles: 90.02 90.02 60.00
Last column: magnetic moment on the atom in μB.
Atoms (fractional coordinates):
Rb (0.629, 0.978, 0.752)  0.00
Rb (0.962, 0.311, 0.830)  0.00
Ba (0.296, 0.645, 0.514)  0.06
Ba (0.295, 0.645, 0.068)  0.06
Ca (0.628, 0.980, 0.266)  0.03
Ca (0.962, 0.313, 0.315)  0.03

## Properties
Spin magnetization: 0.7 μB per cell
E above lowest polymorph: 0 meV per atom
E_tot: -0.055 hartree per atom
ΔE_f: 132 meV/atom

Record 23
Compound: Mg2Ga6Cu
Source: the Alexandria database
Functional: GGA-PBE
Structure: optimized geometry

abc: 4.014 7.260 7.469
angles: 119.08 105.89 90.00
Atoms (fractional coordinates):
Mg (0.635, 0.635, 0.269)
Mg (0.365, 0.365, 0.731)
Ga (0.171, 0.371, 0.339)
Ga (0.829, 0.032, 0.661)
Ga (0.829, 0.629, 0.661)
Ga (0.500, 0.196, 0.000)
Ga (0.171, 0.968, 0.339)
Ga (0.500, 0.804, 0.000)
Cu (0.000, 0.000, 0.000)

## Properties
Spin magnetization: 0.0 μB per cell
E above lowest polymorph: 48 meV per atom
E_tot: -0.105 hartree per atom
ΔE_f: -20 meV/atom

Record 24
Compound: HfRe2B
Source: the Alexandria database
Functional: GGA-PBE
Structure: optimized geometry

abc: 3.154 4.090 9.240
angles: 90.00 99.83 90.00
Atoms (fractional coordinates):
Hf (0.385, 0.250, 0.771)
Hf (0.615, 0.750, 0.229)
Re (0.751, 0.250, 0.503)
Re (0.249, 0.750, 0.497)
Re (0.038, 0.250, 0.075)
Re (0.962, 0.750, 0.925)
B (0.162, 0.250, 0.324)
B (0.838, 0.750, 0.676)

## Properties
Spin magnetization: 0.0 μB per cell
E_tot: -0.386 hartree per atom
ΔE_f: -112 meV/atom